# 1
A plane-wave DFT calculation with PBE was carried out for crystalline SnBi3W at its relaxed geometry.

Results
Mass density, g cm⁻³: 8.32
Space-group type: Pm-3m (221)
Total moment, μB/f.u.: 4.077
Formation enthalpy at 0 K, eV/atom: 1.81

Cell lengths 5.7035, 5.7035, 5.7035 Å; angles 90.00, 90.00, 90.00 degrees
Site moments in Bohr magnetons follow the coordinates.
Atoms (fractional coordinates):
Bi (0.0000, 0.0000, 0.5000)  0.13
Bi (0.0000, 0.5000, 0.0000)  0.14
Bi (0.5000, 0.0000, 0.0000)  0.07
Sn (0.0000, 0.0000, 0.0000)  -0.03
W (0.5000, 0.5000, 0.5000)  -3.19



# 2
A plane-wave DFT calculation with PBE was carried out for crystalline SnBiW2 at its relaxed geometry.

Results
Mass density, g cm⁻³: 12.92
Space-group type: I-42d (122)
Total moment, μB/f.u.: 1.309
Formation enthalpy at 0 K, eV/atom: 1.54

Cell lengths 7.8822, 7.8822, 6.2723 Å; angles 51.07, 51.07, 90.00 degrees
Site moments in Bohr magnetons follow the coordinates.
Atoms (fractional coordinates):
Bi (0.0000, 0.0000, 0.0000)  0.00
Bi (0.7500, 0.2500, 0.5000)  0.00
W (0.6021, 0.1250, 0.2500)  0.52
W (0.8750, 0.8521, 0.7500)  0.52
W (0.1479, 0.6250, 0.2500)  0.52
W (0.3750, 0.3979, 0.7500)  0.52
Sn (0.2500, 0.7500, 0.5000)  -0.01
Sn (0.5000, 0.5000, 0.0000)  -0.01



# 3
A plane-wave DFT calculation with PBE was carried out for crystalline SnBiW3 at its relaxed geometry.

Results
Mass density, g cm⁻³: 11.40
Space-group type: Pm-3m (221)
Total moment, μB/f.u.: 0.000
Formation enthalpy at 0 K, eV/atom: 2.93

Cell lengths 5.0410, 5.0410, 5.0410 Å; angles 90.00, 90.00, 90.00 degrees
Atoms (fractional coordinates):
W (0.0000, 0.5000, 0.0000)
W (0.5000, 0.0000, 0.0000)
W (0.0000, 0.0000, 0.5000)
Sn (0.5000, 0.5000, 0.5000)
Bi (0.0000, 0.0000, 0.0000)



# 4
A plane-wave DFT calculation with PBE was carried out for crystalline SnBiW2 at its relaxed geometry.

Results
Mass density, g cm⁻³: 14.85
Space-group type: Fm-3m (225)
Total moment, μB/f.u.: 0.000
Formation enthalpy at 0 K, eV/atom: 1.00

Cell lengths 4.7907, 4.7907, 4.7907 Å; angles 60.00, 60.00, 60.00 degrees
Atoms (fractional coordinates):
Sn (0.0000, 0.0000, 0.0000)
Bi (0.5000, 0.5000, 0.5000)
W (0.7500, 0.7500, 0.7500)
W (0.2500, 0.2500, 0.2500)



# 5
A plane-wave DFT calculation with PBE was carried out for crystalline SnBi2W at its relaxed geometry.

Results
Mass density, g cm⁻³: 7.91
Space-group type: I-42d (122)
Total moment, μB/f.u.: 2.044
Formation enthalpy at 0 K, eV/atom: 1.05

Cell lengths 6.6994, 6.6994, 8.2409 Å; angles 66.02, 66.02, 90.00 degrees
Site moments in Bohr magnetons follow the coordinates.
Atoms (fractional coordinates):
Bi (0.6684, 0.1250, 0.2500)  -0.07
Bi (0.0816, 0.6250, 0.2500)  -0.07
Bi (0.8750, 0.9184, 0.7500)  -0.08
Bi (0.3750, 0.3316, 0.7500)  -0.08
Sn (0.5000, 0.5000, 0.0000)  0.05
Sn (0.2500, 0.7500, 0.5000)  0.05
W (0.0000, 0.0000, 0.0000)  1.61
W (0.7500, 0.2500, 0.5000)  1.62



# 6
A plane-wave DFT calculation with PBE was carried out for crystalline Y2Sn2Bi at its relaxed geometry.

Results
Mass density, g cm⁻³: 6.30
Space-group type: I4/mmm (139)
Total moment, μB/f.u.: 0.000
Formation enthalpy at 0 K, eV/atom: -0.15

Cell lengths 5.3849, 5.3849, 6.8354 Å; angles 66.80, 66.80, 90.00 degrees
Atoms (fractional coordinates):
Sn (0.6208, 0.6208, 0.7585)
Sn (0.3792, 0.3792, 0.2415)
Y (0.7500, 0.2500, 0.5000)
Y (0.2500, 0.7500, 0.5000)
Bi (0.0000, 0.0000, 0.0000)



# 7
A plane-wave DFT calculation with PBE was carried out for crystalline YSn2Bi2 at its relaxed geometry.

Results
Mass density, g cm⁻³: 7.75
Space-group type: I4/mmm (139)
Total moment, μB/f.u.: 0.000
Formation enthalpy at 0 K, eV/atom: -0.02

Cell lengths 4.4766, 4.4766, 8.5679 Å; angles 74.86, 74.86, 90.00 degrees
Atoms (fractional coordinates):
Y (0.0000, 0.0000, 0.0000)
Bi (0.7500, 0.2500, 0.5000)
Bi (0.2500, 0.7500, 0.5000)
Sn (0.4105, 0.4105, 0.1790)
Sn (0.5895, 0.5895, 0.8210)



# 8
A plane-wave DFT calculation with PBE was carried out for crystalline YSn4Bi at its relaxed geometry.

Results
Mass density, g cm⁻³: 7.60
Space-group type: F-43m (216)
Total moment, μB/f.u.: 0.000
Formation enthalpy at 0 K, eV/atom: -0.12

Cell lengths 6.2041, 6.2041, 6.2041 Å; angles 60.00, 60.00, 60.00 degrees
Atoms (fractional coordinates):
Sn (0.6254, 0.6254, 0.1239)
Sn (0.1239, 0.6254, 0.6254)
Sn (0.6254, 0.6254, 0.6254)
Sn (0.6254, 0.1239, 0.6254)
Y (0.0000, 0.0000, 0.0000)
Bi (0.2500, 0.2500, 0.2500)



# 9
A plane-wave DFT calculation with PBE was carried out for crystalline Y2Sn2Bi at its relaxed geometry.

Results
Mass density, g cm⁻³: 6.96
Space-group type: P4/mbm (127)
Total moment, μB/f.u.: 0.000
Formation enthalpy at 0 K, eV/atom: -0.55

Cell lengths 8.1753, 8.1753, 4.4585 Å; angles 90.00, 90.00, 90.00 degrees
Atoms (fractional coordinates):
Bi (0.5000, 0.5000, 0.0000)
Bi (0.0000, 0.0000, 0.0000)
Sn (0.6275, 0.8725, 0.5000)
Sn (0.1275, 0.6275, 0.5000)
Sn (0.8725, 0.3725, 0.5000)
Sn (0.3725, 0.1275, 0.5000)
Y (0.1711, 0.3289, 0.0000)
Y (0.6711, 0.1711, 0.0000)
Y (0.8289, 0.6711, 0.0000)
Y (0.3289, 0.8289, 0.0000)



# 10
A plane-wave DFT calculation with PBE was carried out for crystalline Y6SnBi3 at its relaxed geometry.

Results
Mass density, g cm⁻³: 6.51
Space-group type: Cmc2_1 (36)
Total moment, μB/f.u.: 1.429
Formation enthalpy at 0 K, eV/atom: -0.56

Cell lengths 7.6990, 9.4321, 9.4321 Å; angles 107.78, 90.00, 90.00 degrees
Site moments in Bohr magnetons follow the coordinates.
Atoms (fractional coordinates):
Bi (0.4850, 0.9186, 0.7133)  -0.01
Bi (0.3301, 0.4221, 0.5779)  -0.01
Bi (0.4850, 0.2867, 0.0814)  -0.01
Bi (0.9850, 0.7133, 0.9186)  -0.01
Bi (0.8301, 0.5779, 0.4221)  -0.01
Bi (0.9850, 0.0814, 0.2867)  -0.01
Y (0.6387, 0.6244, 0.7360)  0.15
Y (0.2599, 0.9936, 0.0064)  0.02
Y (0.7599, 0.0064, 0.9936)  0.02
Y (0.1387, 0.3756, 0.2640)  0.15
Y (0.6387, 0.2640, 0.3756)  0.15
Y (0.6440, 0.2518, 0.7482)  0.20
Y (0.1387, 0.7360, 0.6244)  0.15
Y (0.7472, 0.5387, 0.0845)  0.07
Y (0.1440, 0.7482, 0.2518)  0.20
Y (0.2472, 0.4613, 0.9155)  0.07
Y (0.2472, 0.0845, 0.5387)  0.07
Y (0.7472, 0.9155, 0.4613)  0.07
Sn (0.5096, 0.8344, 0.1656)  0.00
Sn (0.0096, 0.1656, 0.8344)  0.00



# 11
A plane-wave DFT calculation with PBE was carried out for crystalline Y10Sn3Bi3 at its relaxed geometry.

Results
Mass density, g cm⁻³: 6.70
Space-group type: P-62m (189)
Total moment, μB/f.u.: 0.001
Formation enthalpy at 0 K, eV/atom: -0.76

Cell lengths 6.4985, 9.0778, 9.0778 Å; angles 120.00, 90.00, 90.00 degrees
Atoms (fractional coordinates):
Bi (0.5000, 0.0000, 0.3928)
Bi (0.5000, 0.3928, 0.0000)
Bi (0.5000, 0.6072, 0.6072)
Y (0.2458, 0.6667, 0.3333)
Y (0.7542, 0.3333, 0.6667)
Y (0.5000, 0.0000, 0.7594)
Y (0.2458, 0.3333, 0.6667)
Y (0.0000, 0.0000, 0.2413)
Y (0.5000, 0.7594, 0.0000)
Y (0.0000, 0.2413, 0.0000)
Y (0.5000, 0.2406, 0.2406)
Y (0.7542, 0.6667, 0.3333)
Y (0.0000, 0.7587, 0.7587)
Sn (0.0000, 0.0000, 0.6087)
Sn (0.0000, 0.3913, 0.3913)
Sn (0.0000, 0.6087, 0.0000)



# 12
A plane-wave DFT calculation with PBE was carried out for crystalline Y4SnBi at its relaxed geometry.

Results
Mass density, g cm⁻³: 6.33
Space-group type: C2/c (15)
Total moment, μB/f.u.: 0.025
Formation enthalpy at 0 K, eV/atom: -0.53

Cell lengths 6.3127, 8.5937, 8.2724 Å; angles 113.51, 102.56, 108.42 degrees
Atoms (fractional coordinates):
Sn (0.2513, 0.0013, 0.0026)
Sn (0.7487, 0.9987, 0.9974)
Y (0.6506, 0.0873, 0.3803)
Y (0.2297, 0.2930, 0.3803)
Y (0.9542, 0.7913, 0.1759)
Y (0.2783, 0.6154, 0.8241)
Y (0.3494, 0.9127, 0.6197)
Y (0.7703, 0.7070, 0.6197)
Y (0.0458, 0.2087, 0.8241)
Y (0.7217, 0.3846, 0.1759)
Bi (0.3641, 0.6141, 0.2281)
Bi (0.6359, 0.3859, 0.7719)